This record from Alexandria describes crystalline TiMn2Cr at its relaxed geometry. The functional is GGA-PBE.

extended XYZ file:
```
4
Lattice="-1.4318 -2.0947 1.3647 -0.9585 -0.9926 -2.5290 4.6743 -3.4635 -0.4122" Properties=species:S:1:pos:R:3 pbc="T T T"
Cr 1.1420 -3.2754 -0.7882
Mn 3.4378 -2.5473 -0.3031
Mn 1.2365 -0.9162 -0.1090
Ti -1.1951 -1.5436 -0.5822
```

Values from the calculation:
SG: P4/mmm (123)
formation enthalpy at 0 K: -153 meV per atom
E: -9.12 eV/atom
mass density: 7.19 g cm⁻³

***

This record from Alexandria describes crystalline AcPmYIn at its relaxed geometry. The functional is GGA-PBE.

extended XYZ file:
```
4
Lattice="-0.0014 3.7599 4.2916 -4.3553 3.6357 0.6060 -3.6540 -0.6232 4.3376" Properties=species:S:1:pos:R:3 pbc="T T T"
Y 0.0000 0.0000 0.0000
Ac -4.0054 3.3863 4.6176
In -2.0027 1.6931 2.3088
Pm -6.0080 5.0794 6.9264
```

Values from the calculation:
SG: F-43m (216)
formation enthalpy at 0 K: -85 meV per atom
E: -4.60 eV/atom
mass density: 7.28 g cm⁻³

***

This record from Alexandria describes crystalline NaBe4As3 at its relaxed geometry. The functional is GGA-PBE.

extended XYZ file:
```
8
Lattice="-1.3777 2.3559 -2.5434 2.3942 -1.3328 -2.5314 -6.3936 -6.5462 -2.6004" Properties=species:S:1:pos:R:3 pbc="T T T"
Na -3.1968 -3.2731 -1.3002
As 0.0000 0.0000 0.0000
As -1.3456 -1.3866 -3.2914
As -4.0314 -4.1365 -4.3838
Be 0.2008 -1.6865 -1.6709
Be -4.2002 -6.1926 -3.4609
Be -6.0861 -4.3482 -3.4669
Be -1.6851 0.1579 -1.6769
```

Values from the calculation:
SG: P4/mmm (123)
formation enthalpy at 0 K: -204 meV per atom
E: -3.98 eV/atom
mass density: 3.56 g cm⁻³

***

This record from Alexandria describes crystalline TiTl2SnMo at its relaxed geometry. The functional is GGA-PBE.

extended XYZ file:
```
5
Lattice="5.5543 0.0000 0.0000 0.0000 5.2332 0.0000 0.0000 0.0000 5.5543" Properties=species:S:1:pos:R:3 pbc="T T T"
Mo 0.0000 2.6166 0.0000
Tl 0.0000 0.0000 2.7771
Tl 2.7771 0.0000 0.0000
Sn 0.0000 0.0000 0.0000
Ti 2.7771 2.6166 2.7771
```

Values from the calculation:
SG: P4/mmm (123)
formation enthalpy at 0 K: 1601 meV per atom
E: -3.89 eV/atom
mass density: 6.90 g cm⁻³

***

This record from Alexandria describes crystalline SmPu2Cd6 at its relaxed geometry. The functional is GGA-PBE.

extended XYZ file:
```
9
Lattice="6.0425 0.0704 -0.4768 -0.5503 6.0050 -0.6180 0.0444 0.1933 6.0585" Properties=species:S:1:pos:R:3 pbc="T T T"
Sm 0.0000 0.0000 0.0000
Pu 3.6477 4.1314 3.2714
Pu 1.8889 2.1373 1.6922
Cd 0.7614 3.1745 4.6663
Cd 4.9741 1.1509 2.5297
Cd 4.7752 3.0942 0.2973
Cd 2.9671 1.1910 4.7144
Cd 0.5625 5.1178 2.4339
Cd 2.5695 5.0777 0.2492
```

Values from the calculation:
SG: R-3m (166)
formation enthalpy at 0 K: -171 meV per atom
E: -4.49 eV/atom
mass density: 9.87 g cm⁻³

***

This record from Alexandria describes crystalline BaSr3Cl8 at its relaxed geometry. The functional is GGA-PBE.

extended XYZ file:
```
12
Lattice="-3.7336 5.3156 -2.9692 -5.2552 -1.0543 4.7205 3.0749 4.6524 4.4623" Properties=species:S:1:pos:R:3 pbc="T T T"
Ba 0.0000 0.0000 0.0000
Sr -4.4944 2.1306 0.8757
Sr -0.3293 4.9840 0.7465
Sr -1.0901 1.7990 4.5914
Cl -0.0048 4.5525 3.7702
Cl -4.0817 1.7595 3.8966
Cl -3.3371 4.8771 0.1331
Cl -4.4041 6.6381 4.6274
Cl -5.9090 4.3611 2.4434
Cl -1.8321 7.1541 2.3170
Cl -2.5768 4.0365 6.0806
Cl -1.5097 2.2755 1.5863
```

Values from the calculation:
SG: Pm-3m (221)
raw formation energy: -2.50 eV/atom
E: -4.31 eV/atom
mass density: 3.12 g cm⁻³

***

This record from Alexandria describes crystalline Ta3Si5 at its relaxed geometry. The functional is GGA-PBE.

extended XYZ file:
```
8
Lattice="-4.5690 0.6815 2.4990 -0.4869 -5.2040 -0.5167 2.0742 -0.5865 3.9523" Properties=species:S:1:pos:R:3 pbc="T T T"
Ta -2.5279 -2.2613 0.9912
Ta -2.9796 -3.8862 3.5510
Ta -0.0021 -1.2228 2.3836
Si 0.0000 0.0000 0.0000
Si -2.2845 0.3407 1.2495
Si -0.2434 -2.6020 -0.2584
Si -2.3510 -1.3144 3.6027
Si -0.6307 -3.7946 2.3318
```

Values from the calculation:
SG: Cmmm (65)
energy above the lowest structure with this stoichiometry: 60.1 meV/atom
raw formation energy: -0.02 eV/atom
E: -7.85 eV/atom
mass density: 9.18 g cm⁻³

***

This record from Alexandria describes crystalline Pm2ReC3 at its relaxed geometry. The functional is GGA-PBE.

extended XYZ file:
```
12
Lattice="-5.0758 -0.3146 -2.1980 -2.2466 -1.4236 5.3920 0.0558 5.9319 -0.9780" Properties=species:S:1:pos:R:3 pbc="T T T"
Pm -4.0597 2.5252 -1.1831
Pm -2.2337 4.1475 1.3502
Pm -3.0057 1.6810 3.4862
Pm -4.8318 0.0587 0.9529
Re -5.9104 3.8188 2.2734
Re -1.6147 0.3589 -0.1692
C -2.7754 4.6189 -1.1955
C -5.3799 4.5984 -2.1605
C -2.5314 1.5771 0.9061
C -5.6242 2.5615 0.9249
C -7.0011 -0.5807 2.3247
C -4.3967 -0.5603 3.2897
```

Values from the calculation:
SG: Cmc2_1 (36)
energy above the lowest structure with this stoichiometry: 139.1 meV/atom
formation enthalpy at 0 K: 9 meV per atom
E: -8.26 eV/atom
mass density: 9.20 g cm⁻³

***

What did the third record say?
This record from Alexandria describes crystalline NaBe4As3 at its relaxed geometry. The functional is GGA-PBE.

extended XYZ file:
```
8
Lattice="-1.3777 2.3559 -2.5434 2.3942 -1.3328 -2.5314 -6.3936 -6.5462 -2.6004" Properties=species:S:1:pos:R:3 pbc="T T T"
Na -3.1968 -3.2731 -1.3002
As 0.0000 0.0000 0.0000
As -1.3456 -1.3866 -3.2914
As -4.0314 -4.1365 -4.3838
Be 0.2008 -1.6865 -1.6709
Be -4.2002 -6.1926 -3.4609
Be -6.0861 -4.3482 -3.4669
Be -1.6851 0.1579 -1.6769
```

Values from the calculation:
SG: P4/mmm (123)
formation enthalpy at 0 K: -204 meV per atom
E: -3.98 eV/atom
mass density: 3.56 g cm⁻³

***

- Number 6 is which compound?
  BaSr3Cl8

***

- Which formula does entry 8 have?
  Pm2ReC3

***

- Which of these has the highest mass density?
  SmPu2Cd6